This record from the Alexandria database describes a relaxed structure of KWSe. The functional is PBE.

The structure belongs to space group F-43m (No. 216); the cell edges are 7.0431, 7.0431 and 7.0431 Å and the angles 90.00°, 90.00° and 90.00°. The inequivalent atoms are K at (0.0000, 0.0000, 0.0000), W at (0.0000, 0.0000, 0.5000) and Se at (0.2500, 0.2500, 0.2500).

The value obtained for the formation energy (no corrections) is 374 kJ/mol of formula units. For the energy above the most stable polymorph in this dataset, the calculation gives 865.7 meV per atom.


This record from the Alexandria database describes a relaxed structure of LaZnCdPd3. The functional is PBE.

The structure belongs to space group Cmcm (No. 63); the cell edges are 6.7606, 12.6942 and 5.8952 Å and the angles 90.00°, 90.00° and 90.00°. The inequivalent atoms are La at (0.0000, 0.1837, 0.2500), Zn at (0.0000, 0.1370, 0.7500), Cd at (0.0000, 0.4294, 0.2500), Pd at (0.0000, 0.3385, 0.7500) and Pd at (0.1988, 0.0000, 0.0000).

Its calculated formation energy is -0.39 eV/atom.


This record from the Alexandria database describes a relaxed structure of KBPb. The functional is PBE.

The structure belongs to space group Pm (No. 6); the cell edges are 3.9019, 5.7547 and 7.5733 Å and the angles 90.00°, 104.68° and 90.00°. The inequivalent atoms are K at (0.0000, 0.0000, 0.0000), K at (0.1812, 0.5000, 0.3492), B at (0.8341, 0.3626, 0.6606), Pb at (0.4364, 0.5000, 0.8686) and Pb at (0.7585, 0.0000, 0.5069).

Its calculated formation energy is 0.34 eV/atom. For the energy above the most stable polymorph in this dataset, the calculation gives 203.2 meV per atom.


This record from the Alexandria database describes a relaxed structure of Pm5Ga2Ag. The functional is PBE.

The structure belongs to space group I4/mcm (No. 140); the cell edges are 7.7012, 7.7012 and 15.2309 Å and the angles 90.00°, 90.00° and 90.00°. The inequivalent atoms are Pm at (0.0000, 0.0000, 0.0000), Pm at (0.1708, 0.3292, 0.1462), Ga at (0.1190, 0.3810, 0.5000) and Ag at (0.0000, 0.0000, 0.2500).

Its calculated formation energy is -0.35 eV/atom.


This record from the Alexandria database describes a relaxed structure of Cs3K2Rb9. The functional is PBE.

The structure belongs to space group Immm (No. 71); the cell edges are 7.9610, 17.9186 and 18.8259 Å and the angles 90.00°, 90.00° and 90.00°. The inequivalent atoms are Cs at (0.0000, 0.0000, 0.0000), Cs at (0.0000, 0.0000, 0.2835), K at (0.0000, 0.1463, 0.5000), Rb at (0.0000, 0.2723, 0.1389), Rb at (0.0000, 0.3712, 0.3702) and Rb at (0.0000, 0.5000, 0.0000).

Its calculated formation energy is 0.02 eV/atom.


This record from the Alexandria database describes a relaxed structure of LiLa2Pb3. The functional is PBE.

The structure belongs to space group Cm (No. 8); the cell edges are 11.8741, 4.8955 and 7.7838 Å and the angles 90.00°, 128.76° and 90.00°. The inequivalent atoms are Li at (0.0000, 0.0000, 0.0000), La at (0.1262, 0.5000, 0.7831), La at (0.2274, 0.5000, 0.4017), Pb at (0.0213, 0.0000, 0.4026), Pb at (0.2988, 0.0000, 0.1791) and Pb at (0.3647, 0.0000, 0.8222).

Its calculated formation energy is -0.48 eV/atom. For the energy above the most stable polymorph in this dataset, the calculation gives 0.0 meV per atom.


This record from the Alexandria database describes a relaxed structure of CaPa2Se6. The functional is PBE.

The structure belongs to space group C2/m (No. 12); the cell edges are 14.0297, 5.4774 and 9.4184 Å and the angles 90.00°, 124.39° and 90.00°. The inequivalent atoms are Ca at (0.0000, 0.0000, 0.0000), Pa at (0.1798, 0.0000, 0.6065), Se at (0.0319, 0.0000, 0.7124), Se at (0.1402, 0.5000, 0.0745) and Se at (0.2106, 0.5000, 0.5789).

The value obtained for the formation energy (no corrections) is -1167 kJ/mol of formula units. For the energy above the most stable polymorph in this dataset, the calculation gives 108.6 meV per atom.


This record from the Alexandria database describes a relaxed structure of ScCdAs2. The functional is PBE.

The structure belongs to space group R3m (No. 160, hexagonal axes); the cell edges are 3.5954, 3.5954 and 23.6948 Å and the angles 90.00°, 90.00° and 120.00°. The inequivalent atoms are Sc at (0.0000, 0.0000, 0.0000), Cd at (0.0000, 0.0000, 0.7629), As at (0.0000, 0.0000, 0.2564) and As at (0.0000, 0.0000, 0.5187).

Its calculated formation energy is -0.10 eV/atom.


This record from the Alexandria database describes a relaxed structure of Tl2TeSe2Cl2. The functional is PBE.

The structure belongs to space group I4/mmm (No. 139); the cell edges are 5.5009, 5.5009 and 15.5377 Å and the angles 90.00°, 90.00° and 90.00°. The inequivalent atoms are Tl at (0.0000, 0.0000, 0.1267), Te at (0.0000, 0.0000, 0.5000), Se at (0.0000, 0.5000, 0.0000) and Cl at (0.0000, 0.0000, 0.3320).

The value obtained for the formation energy (no corrections) is -303 kJ/mol of formula units.


This record from the Alexandria database describes a relaxed structure of TlCd3Pd6. The functional is PBE.

The structure belongs to space group P2_1/m (No. 11); the cell edges are 7.8083, 4.7240 and 10.1125 Å and the angles 90.00°, 111.35° and 90.00°. The inequivalent atoms are Tl at (0.0645, 0.2500, 0.3736), Cd at (0.2461, 0.2500, 0.9773), Cd at (0.3484, 0.7500, 0.8178), Cd at (0.4740, 0.2500, 0.5925), Pd at (0.0415, 0.7500, 0.9209), Pd at (0.1406, 0.7500, 0.2148), Pd at (0.1606, 0.2500, 0.6756), Pd at (0.2401, 0.7500, 0.5203), Pd at (0.3579, 0.2500, 0.2769) and Pd at (0.4377, 0.7500, 0.1130).

Its calculated formation energy is -0.31 eV/atom. For the energy above the most stable polymorph in this dataset, the calculation gives 0.0 meV per atom.


This record from the Alexandria database describes a relaxed structure of BaCa2Mg. The functional is PBE.

The structure belongs to space group C2/m (No. 12); the cell edges are 7.5405, 12.7545 and 3.8102 Å and the angles 90.00°, 115.83° and 90.00°. The inequivalent atoms are Ba at (0.0000, 0.0000, 0.0000), Ca at (0.2500, 0.2500, 0.5000) and Mg at (0.0000, 0.5000, 0.0000).

Its calculated formation energy is 0.08 eV/atom.


This record from the Alexandria database describes a relaxed structure of LaAgRu2. The functional is PBE.

The structure belongs to space group I4/mmm (No. 139); the cell edges are 4.3332, 4.3332 and 7.9818 Å and the angles 90.00°, 90.00° and 90.00°. The inequivalent atoms are La at (0.0000, 0.0000, 0.0000), Ag at (0.0000, 0.0000, 0.5000) and Ru at (0.0000, 0.5000, 0.2500).

Its calculated formation energy is 0.39 eV/atom. For the energy above the most stable polymorph in this dataset, the calculation gives 206.0 meV per atom.


Number 1: calculated volume 29.11 Å³/atom. Number 2: calculated volume 21.08 Å³/atom. Number 3: calculated volume 27.42 Å³/atom. Number 4: calculated volume 28.23 Å³/atom. Number 5: calculated volume 95.91 Å³/atom. Number 6: calculated volume 29.40 Å³/atom. Number 7: calculated volume 33.18 Å³/atom. Number 8: calculated volume 22.11 Å³/atom. Number 9: calculated volume 33.58 Å³/atom. Number 10: calculated volume 17.37 Å³/atom. Number 11: calculated volume 41.23 Å³/atom. Number 12: calculated volume 18.73 Å³/atom.